Record 1
VASP calculation (PBE-GGA) on a relaxed KCo3Se crystal.

## Properties
Total moment = 0.800 μB per atom
E_tot = -0.1657 hartree per atom
E above lowest polymorph = 0.0 meV/atom

```
data_KCo3Se
_cell_length_a 4.5475
_cell_length_b 4.5475
_cell_length_c 4.5475
_cell_angle_alpha 90.00
_cell_angle_beta 90.00
_cell_angle_gamma 90.00
_space_group_name_H-M_alt 'P 1'
_space_group_IT_number 1
loop_
_space_group_symop_operation_xyz
'x,y,z'
loop_
_atom_site_label
_atom_site_type_symbol
_atom_site_fract_x
_atom_site_fract_y
_atom_site_fract_z
K1 K 0.0000 0.0000 0.0000
Co1 Co 0.0000 0.5000 0.5000
Co2 Co 0.5000 0.0000 0.5000
Co3 Co 0.5000 0.5000 0.0000
Se1 Se 0.5000 0.5000 0.5000
```

***

Record 2
VASP calculation (PBE-GGA) on a relaxed RbLa3Pt crystal.

## Properties
Formation enthalpy at 0 K = -0.215 eV per atom
Total moment = 0.000 μB per atom
E_tot = -0.1680 hartree per atom
E above lowest polymorph = 0.0 meV/atom

```
data_RbLa3Pt
_cell_length_a 5.9080
_cell_length_b 5.9080
_cell_length_c 5.9080
_cell_angle_alpha 90.00
_cell_angle_beta 90.00
_cell_angle_gamma 90.00
_space_group_name_H-M_alt 'P 1'
_space_group_IT_number 1
loop_
_space_group_symop_operation_xyz
'x,y,z'
loop_
_atom_site_label
_atom_site_type_symbol
_atom_site_fract_x
_atom_site_fract_y
_atom_site_fract_z
Rb1 Rb 0.0000 0.0000 0.0000
La1 La 0.0000 0.5000 0.5000
La2 La 0.5000 0.0000 0.5000
La3 La 0.5000 0.5000 0.0000
Pt1 Pt 0.5000 0.5000 0.5000
```

***

Record 3
VASP calculation (PBE-GGA) on a relaxed Na2CaTaO4 crystal.

## Properties
Total moment = 0.096 μB per atom
E_tot = -0.2503 hartree per atom

```
data_Na2CaTaO4
_cell_length_a 5.6706
_cell_length_b 5.6706
_cell_length_c 5.6706
_cell_angle_alpha 119.53
_cell_angle_beta 119.53
_cell_angle_gamma 90.82
_space_group_name_H-M_alt 'P 1'
_space_group_IT_number 1
loop_
_space_group_symop_operation_xyz
'x,y,z'
loop_
_atom_site_label
_atom_site_type_symbol
_atom_site_fract_x
_atom_site_fract_y
_atom_site_fract_z
Na1 Na 0.0000 0.0000 0.0000
Na2 Na 0.7500 0.2500 0.5000
Ca1 Ca 0.5000 0.5000 0.0000
Ta1 Ta 0.2500 0.7500 0.5000
O1 O 0.1428 0.0772 0.5246
O2 O 0.3818 0.8572 0.9344
O3 O 0.5526 0.6182 0.4754
O4 O 0.9228 0.4474 0.0656
```